# 1
DFT (PBE) results for crystalline BaNi2B2 at its relaxed geometry.

POSCAR file:
```
BaNi2B2
1.0
8.148 0.000 0.000
0.000 11.435 0.000
0.000 0.000 3.242
Ba Ni B
4 8 8
direct
0.179 0.069 0.000
0.321 0.569 0.500
0.679 0.431 0.500
0.821 0.931 0.000
0.036 0.325 0.000
0.160 0.795 0.500
0.340 0.295 0.000
0.464 0.825 0.500
0.536 0.175 0.500
0.660 0.705 0.000
0.840 0.205 0.500
0.964 0.675 0.000
0.029 0.431 0.500
0.188 0.323 0.500
0.312 0.823 0.000
0.471 0.931 0.000
0.529 0.069 0.000
0.688 0.177 0.000
0.812 0.677 0.500
0.971 0.569 0.500
```

Properties
**Energy of formation from the pure elements**: 0.165 eV/atom
**Final energy**: -104.1 eV for the cell shown
**Symmetry**: No. 58

# 2
DFT (PBE) results for crystalline Ba2Ni9B6 at its relaxed geometry.

POSCAR file:
```
Ba2Ni9B6
1.0
5.028 2.903 4.836
-5.028 2.903 4.836
0.000 -5.806 4.836
Ba Ni B
4 18 12
direct
0.123 0.123 0.123
0.377 0.377 0.377
0.623 0.623 0.623
0.877 0.877 0.877
0.067 0.608 0.577
0.077 0.108 0.567
0.108 0.567 0.077
0.215 0.750 0.285
0.250 0.715 0.785
0.285 0.215 0.750
0.392 0.423 0.933
0.423 0.933 0.392
0.433 0.923 0.892
0.567 0.077 0.108
0.577 0.067 0.608
0.608 0.577 0.067
0.715 0.785 0.250
0.750 0.285 0.215
0.785 0.250 0.715
0.892 0.433 0.923
0.923 0.892 0.433
0.933 0.392 0.423
0.035 0.347 0.688
0.153 0.465 0.812
0.188 0.847 0.535
0.312 0.965 0.653
0.347 0.688 0.035
0.465 0.812 0.153
0.535 0.188 0.847
0.653 0.312 0.965
0.688 0.035 0.347
0.812 0.153 0.465
0.847 0.535 0.188
0.965 0.653 0.312
```

Properties
**Energy of formation from the pure elements**: -0.291 eV/atom
**Final energy**: -201.8 eV for the cell shown
**Symmetry**: No. 167

# 3
DFT (PBE) results for crystalline Ba2NiB at its relaxed geometry.

POSCAR file:
```
Ba2NiB
1.0
-4.026 4.026 3.834
4.026 -4.026 3.834
4.026 4.026 -3.834
Ba Ni B
4 2 2
direct
0.119 0.625 0.994
0.375 0.369 0.494
0.631 0.125 0.006
0.875 0.881 0.506
0.250 0.750 0.500
0.500 0.500 0.000
0.000 0.000 0.000
0.750 0.250 0.500
```

Properties
**Energy of formation from the pure elements**: 0.927 eV/atom
**Final energy**: -25.2 eV for the cell shown
**Symmetry**: No. 122

# 4
DFT (PBE) results for crystalline BaNiB2 at its relaxed geometry.

POSCAR file:
```
BaNiB2
1.0
0.000 3.195 3.195
3.195 0.000 3.195
3.195 3.195 0.000
Ba Ni B
1 1 2
direct
0.000 0.000 0.000
0.500 0.500 0.500
0.250 0.250 0.250
0.750 0.750 0.750
```

Properties
**Energy of formation from the pure elements**: 1.435 eV/atom
**Final energy**: -15.3 eV for the cell shown
**Symmetry**: No. 225
**Relative energy among the computed polymorphs**: 123.7 kJ per mole of atoms

# 5
DFT (PBE) results for crystalline BaNiB at its relaxed geometry.

POSCAR file:
```
BaNiB
1.0
11.327 0.000 0.000
0.000 3.854 0.000
0.000 0.000 5.947
Ba Ni B
4 4 4
direct
0.157 0.250 0.092
0.343 0.750 0.592
0.657 0.250 0.408
0.843 0.750 0.908
0.059 0.750 0.567
0.441 0.250 0.067
0.559 0.750 0.933
0.941 0.250 0.433
0.088 0.250 0.603
0.412 0.750 0.103
0.588 0.250 0.897
0.912 0.750 0.397
```

Properties
**Energy of formation from the pure elements**: -0.051 eV/atom
**Final energy**: -58.1 eV for the cell shown
**Symmetry**: No. 62

Question: Which of these has the highest energy of formation from the pure elements?
Answer: BaNiB2

Question: final energy of number 4 (BaNiB2)?
Answer: -15.3 eV for the cell shown

Question: What is the formula in the fourth record?
Answer: BaNiB2